## AlSb3 (PBE)

Data for a relaxed AlSb3 crystal.

Values from the calculation:
Volume = 26.71 Å³ per atom
Raw total energy = -3.7974 eV per atom
Fermi-level density of states = 1.82 states/eV/f.u.
Size of the total moment = 0.00 μB per formula unit
E_form (uncorrected) = 0.2300 eV/atom

a b c (Å): 5.224 3.153 6.500
angles (deg): 86.36 90.00 90.00
Positions (direct):
Sb (0.000, 0.500, 0.500)
Sb (0.500, 0.434, 0.230)
Sb (0.500, 0.566, 0.770)
Al (0.000, 0.000, 0.000)